{
  "formula": "Ho2TeBr3",
  "functional": "GGA-PBE",
  "state": "relaxed",
  "cell": [[-2.2566, -2.8765, -1.9587], [6.5204, -5.3551, -4.0392], [-0.2569, -7.9358, 7.5590]],
  "species": ["Ho", "Ho", "Ho", "Ho", "Te", "Te", "Br", "Br", "Br", "Br", "Br", "Br"],
  "frac_coords": [[0.8693, 0.4226, 0.8388], [0.1307, 0.5774, 0.1612], [0.6084, 0.2210, 0.5622], [0.3916, 0.7790, 0.4378], [0.4006, 0.5352, 0.6637], [0.5994, 0.4648, 0.3363], [0.0547, 0.1405, 0.7501], [0.9453, 0.8595, 0.2499], [0.6682, 0.6829, 0.9807], [0.3318, 0.3171, 0.0193], [0.7597, 0.8813, 0.5993], [0.2403, 0.1187, 0.4007]],
  "e_form_raw_ev_per_fu": -9.25,
  "m_tot_mub_per_fu": 0.70
}

---

{
  "formula": "Ca4Er3ScTe8",
  "functional": "GGA-PBE",
  "state": "relaxed",
  "cell": [[-2.1451, 6.6552, -5.1989], [0.3024, -5.3748, -7.0053], [-5.0822, -2.0493, 6.7754]],
  "species": ["Ca", "Ca", "Ca", "Ca", "Er", "Er", "Er", "Sc", "Te", "Te", "Te", "Te", "Te", "Te", "Te", "Te"],
  "frac_coords": [[0.5000, 0.0000, 0.0000], [0.5000, 0.0000, 0.5000], [0.0000, 0.0000, 0.0000], [0.0000, 0.0000, 0.5000], [0.5000, 0.5000, 0.0000], [0.5000, 0.5000, 0.5000], [0.0000, 0.5000, 0.5000], [0.0000, 0.5000, 0.0000], [0.2440, 0.7389, 0.9952], [0.2437, 0.7388, 0.4874], [0.2523, 0.2575, 0.5046], [0.7512, 0.7389, 0.9952], [0.2488, 0.2611, 0.0048], [0.7477, 0.7425, 0.4954], [0.7563, 0.2612, 0.5126], [0.7560, 0.2611, 0.0048]],
  "e_form_raw_ev_per_fu": -22.47,
  "m_tot_mub_per_fu": 0.01
}

---

{
  "formula": "ScTc2Rh",
  "functional": "GGA-PBE",
  "state": "relaxed",
  "cell": [[-4.7628, -5.6186, 1.2863], [3.0664, -3.8828, -5.6061], [0.7746, -5.7627, -0.5714]],
  "species": ["Sc", "Sc", "Rh", "Rh", "Tc", "Tc", "Tc", "Tc"],
  "frac_coords": [[0.5000, 0.5000, 0.0000], [0.2500, 0.7500, 0.5000], [0.0000, 0.0000, 0.0000], [0.7500, 0.2500, 0.5000], [0.6596, 0.1250, 0.2500], [0.0904, 0.6250, 0.2500], [0.3750, 0.3404, 0.7500], [0.8750, 0.9096, 0.7500]],
  "formation_enthalpy_0k_mev_per_atom": 313,
  "m_tot_mub_per_fu": 0.00
}

---

{
  "formula": "LiVZn",
  "functional": "GGA-PBE",
  "state": "relaxed",
  "cell": [[-1.8204, -5.1901, -1.5069], [3.2900, -0.4803, 5.0928], [-2.2750, -0.3377, 1.4535]],
  "species": ["Zn", "Zn", "V", "V", "Li", "Li"],
  "frac_coords": [[0.0000, 0.0000, 0.5000], [0.0000, 0.5000, 0.5000], [0.3389, 0.8620, 0.8302], [0.6611, 0.1380, 0.1698], [0.3147, 0.3379, 0.8421], [0.6853, 0.6621, 0.1579]],
  "formation_enthalpy_0k_mev_per_atom": 104,
  "m_tot_mub_per_fu": 0.00
}

---

{
  "formula": "TlCr2Ag",
  "functional": "GGA-PBE",
  "state": "relaxed",
  "cell": [[-4.6039, -0.7534, 0.4461], [-1.9018, -0.4308, 4.2615], [-2.7758, 3.3816, 1.6800]],
  "species": ["Ag", "Cr", "Cr", "Tl"],
  "frac_coords": [[0.5000, 0.5000, 0.5000], [0.0000, 0.0000, 0.0000], [0.2500, 0.2500, 0.2500], [0.7500, 0.7500, 0.7500]],
  "formation_enthalpy_0k_mev_per_atom": 525,
  "m_tot_mub_per_fu": 0.13
}

---

{
  "formula": "Ac12La3Pr",
  "functional": "GGA-PBE",
  "state": "relaxed",
  "cell": [[-2.6915, -0.9419, -4.7776], [-4.7577, -0.6548, 2.8093], [-4.1407, 21.7207, -1.9494]],
  "species": ["Ac", "Ac", "Ac", "Ac", "Ac", "Ac", "Ac", "Ac", "Ac", "Ac", "Ac", "Ac", "La", "La", "La", "Pr"],
  "frac_coords": [[0.5000, 0.5000, 0.0000], [0.5000, 0.5000, 0.2494], [0.5000, 0.5000, 0.5000], [0.5000, 0.5000, 0.7506], [0.5000, 0.0000, 0.1244], [0.5000, 0.0000, 0.3748], [0.5000, 0.0000, 0.6252], [0.5000, 0.0000, 0.8756], [0.0000, 0.5000, 0.1244], [0.0000, 0.5000, 0.3748], [0.0000, 0.5000, 0.6252], [0.0000, 0.5000, 0.8756], [0.0000, 0.0000, 0.2498], [0.0000, 0.0000, 0.5000], [0.0000, 0.0000, 0.7502], [0.0000, 0.0000, 0.0000]],
  "formation_enthalpy_0k_mev_per_atom": 17,
  "m_tot_mub_per_fu": 0.00
}

---

{
  "formula": "Na4U3S8",
  "functional": "GGA-PBE",
  "state": "relaxed",
  "cell": [[-5.4777, 0.1762, -5.8586], [0.3583, -5.3269, -5.9880], [-5.8417, -6.1901, -0.2170]],
  "species": ["Na", "Na", "Na", "Na", "U", "U", "U", "S", "S", "S", "S", "S", "S", "S", "S"],
  "frac_coords": [[0.0000, 0.0000, 0.0000], [0.3592, 0.3592, 0.9224], [0.5000, 0.5000, 0.5000], [0.6408, 0.6408, 0.0776], [0.5000, 0.0000, 0.5000], [0.0000, 0.0000, 0.5000], [0.0000, 0.5000, 0.5000], [0.2332, 0.2332, 0.3004], [0.2164, 0.7462, 0.2912], [0.7462, 0.7462, 0.2912], [0.7462, 0.2164, 0.2912], [0.7668, 0.7668, 0.6996], [0.7836, 0.2538, 0.7088], [0.2538, 0.2538, 0.7088], [0.2538, 0.7836, 0.7088]],
  "e_form_raw_ev_per_fu": -19.98,
  "m_tot_mub_per_fu": 6.00
}

---

{
  "formula": "Rb2ZrAsI6",
  "functional": "GGA-PBE",
  "state": "relaxed",
  "cell": [[8.2556, 0.0000, 0.0000], [0.0000, 8.2556, 0.0000], [4.1278, 4.1278, 6.7728]],
  "species": ["I", "I", "I", "I", "I", "I", "As", "Rb", "Rb", "Zr"],
  "frac_coords": [[0.2166, 0.2166, 0.5668], [0.7834, 0.7834, 0.4332], [0.2487, 0.2487, 0.0000], [0.7513, 0.7513, 0.0000], [0.7513, 0.2487, 0.0000], [0.2487, 0.7513, 0.0000], [0.5000, 0.5000, 0.0000], [0.7500, 0.2500, 0.5000], [0.2500, 0.7500, 0.5000], [0.0000, 0.0000, 0.0000]],
  "e_form_raw_ev_per_fu": -7.32,
  "m_tot_mub_per_fu": 1.00
}

---

{
  "formula": "Rb3Mn2Br7",
  "functional": "GGA-PBE",
  "state": "relaxed",
  "cell": [[14.4327, 0.0052, 0.0000], [12.4058, 7.3757, 0.0000], [-13.4193, -3.6905, 3.8220]],
  "species": ["Mn", "Mn", "Br", "Br", "Br", "Br", "Br", "Br", "Br", "Rb", "Rb", "Rb"],
  "frac_coords": [[0.4008, 0.4008, 0.0000], [0.5992, 0.5992, 0.0000], [0.9048, 0.4048, 0.5000], [0.4048, 0.9048, 0.5000], [0.3062, 0.3062, 0.0000], [0.5000, 0.5000, 0.0000], [0.6938, 0.6938, 0.0000], [0.0952, 0.5952, 0.5000], [0.5952, 0.0952, 0.5000], [0.1806, 0.1806, 0.0000], [0.0000, 0.0000, 0.0000], [0.8194, 0.8194, 0.0000]],
  "e_form_raw_ev_per_fu": -15.17,
  "m_tot_mub_per_fu": 10.00
}

---

{
  "formula": "Li3Zr4Se8",
  "functional": "GGA-PBE",
  "state": "relaxed",
  "cell": [[6.6884, -0.1002, -3.6315], [-4.2931, 6.3368, -0.2373], [-0.1003, 0.1147, 7.6563]],
  "species": ["Li", "Li", "Li", "Zr", "Zr", "Zr", "Zr", "Se", "Se", "Se", "Se", "Se", "Se", "Se", "Se"],
  "frac_coords": [[0.5000, 0.5000, 0.0000], [0.5000, 0.0000, 0.5000], [0.5000, 0.5000, 0.5000], [0.5000, 0.0000, 0.0000], [0.0000, 0.5000, 0.0000], [0.0000, 0.0000, 0.0000], [0.0000, 0.0000, 0.5000], [0.4921, 0.2444, 0.2444], [0.0000, 0.7463, 0.2537], [0.0046, 0.2604, 0.2604], [0.5000, 0.7466, 0.2534], [0.5000, 0.2534, 0.7466], [0.9954, 0.7396, 0.7396], [0.0000, 0.2537, 0.7463], [0.5079, 0.7556, 0.7556]],
  "e_form_raw_ev_per_fu": -19.65,
  "m_tot_mub_per_fu": 0.00
}

---

{
  "formula": "TlIn2CoCl",
  "functional": "GGA-PBE",
  "state": "relaxed",
  "cell": [[-3.3315, 3.7206, 0.2732], [-1.1705, -1.3902, 4.6598], [3.6188, 3.1056, 1.8356]],
  "species": ["Tl", "Cl", "Co", "In", "In"],
  "frac_coords": [[0.0000, 0.0000, 0.5000], [0.5000, 0.5000, 0.5000], [0.0000, 0.0000, 0.0000], [0.0000, 0.5000, 0.0000], [0.5000, 0.0000, 0.0000]],
  "e_form_raw_ev_per_fu": -1.16,
  "m_tot_mub_per_fu": 0.00
}

---

{
  "formula": "Be2PSe",
  "functional": "GGA-PBE",
  "state": "relaxed",
  "cell": [[4.2578, 0.0188, 0.0015], [-0.8190, 4.1783, 0.0015], [1.1528, 1.4070, 3.2180]],
  "species": ["P", "Se", "Be", "Be"],
  "frac_coords": [[0.5000, 0.0000, 0.5000], [0.0000, 0.5000, 0.5000], [0.0000, 0.0000, 0.0000], [0.5000, 0.5000, 0.0000]],
  "e_form_raw_ev_per_fu": 1.21,
  "m_tot_mub_per_fu": 0.00
}

---

> What is the formula in the first record?

Ho2TeBr3